Density functional theory data (PBE-GGA) for a relaxed structure of KBe2I.

Cell: 5.5444 5.5444 5.5444 Å, 60.00 60.00 60.00°
Last column: nearest neighbours and their distance in Å.
Positions (direct):
I1 0.5000 0.5000 0.5000  8 Be 3.40
Be1 0.2500 0.2500 0.2500  4 I 3.40, 4 K 3.40
Be2 0.7500 0.7500 0.7500  4 K 3.40, 4 I 3.40
K1 0.0000 0.0000 0.0000  8 Be 3.40

## Properties
Space group ... No. 225
Energy ... -5.881 eV per cell
Formation energy (no corrections) ... 1.0549 eV per atom


Density functional theory data (PBE-GGA) for a relaxed structure of TbDy8Tm2.

Cell: 6.3726 9.9597 9.9597 Å, 39.18 64.50 64.50°
Last column: nearest neighbours and their distance in Å.
Positions (direct):
Tb1 0.0000 0.0000 0.0000  10 Dy 3.44-3.72
Dy1 0.2697 0.3490 0.8425  5 Dy 3.30-3.50, 2 Tm 3.30-3.34, 1 Tb 3.44
Dy2 0.7303 0.1575 0.6510  5 Dy 3.30-3.50, 2 Tm 3.30-3.34, 1 Tb 3.44
Dy3 0.2580 0.7866 0.7866  4 Tm 3.24-3.46, 2 Dy 3.50, 1 Tb 3.57
Dy4 0.7420 0.2134 0.2134  4 Tm 3.24-3.46, 2 Dy 3.50, 1 Tb 3.57
Dy5 0.2697 0.8425 0.3490  5 Dy 3.30-3.50, 2 Tm 3.30-3.34, 1 Tb 3.44
Dy6 0.7303 0.6510 0.1575  5 Dy 3.30-3.50, 2 Tm 3.30-3.34, 1 Tb 3.44
Dy7 0.7504 0.5828 0.5828  1 Tm 3.22, 3 Dy 3.28-3.39
Dy8 0.2496 0.4172 0.4172  1 Tm 3.22, 3 Dy 3.28-3.39
Tm1 0.8234 0.7416 0.7416  9 Dy 3.22-3.46
Tm2 0.1766 0.2584 0.2584  9 Dy 3.22-3.46

## Properties
Space group ... No. 12
Energy ... -48.013 eV per cell
Formation energy ... 2.38 eV/f.u.


Density functional theory data (PBE-GGA) for a relaxed structure of LaScAs2Br.

Cell: 5.1361 5.1361 5.1394 Å, 90.00 90.00 90.00°
Last column: nearest neighbours and their distance in Å.
Positions (direct):
Sc1 0.0000 0.0000 0.0000  4 As 2.57, 2 Br 2.57
As1 0.0000 0.5000 0.0000  2 Sc 2.57
As2 0.5000 0.0000 0.0000  2 Sc 2.57
Br1 0.0000 0.0000 0.5000  2 Sc 2.57
La1 0.5000 0.5000 0.5000  4 Br 3.63, 8 As 3.63

## Properties
Space group ... No. 123
Energy ... -26.899 eV per cell
Formation energy (no corrections) ... -0.9337 eV per atom


Density functional theory data (PBE-GGA) for a relaxed structure of TlVPd3.

Cell: 4.7163 4.7163 4.7163 Å, 90.00 90.00 90.00°
Last column: nearest neighbours and their distance in Å.
Positions (direct):
Tl1 0.5000 0.5000 0.5000  12 Pd 3.33
Pd1 0.0000 0.5000 0.0000  2 V 2.36
Pd2 0.0000 0.0000 0.5000  2 V 2.36
Pd3 0.5000 0.0000 0.0000  2 V 2.36
V1 0.0000 0.0000 0.0000  6 Pd 2.36

## Properties
Space group ... No. 221
Energy ... -24.286 eV per cell
Formation energy ... 2.78 eV/f.u.


Density functional theory data (PBE-GGA) for a relaxed structure of LiMgPdF6.

Cell: 4.6831 4.6831 9.6557 Å, 90.00 90.00 90.00°
Last column: nearest neighbours and their distance in Å.
Positions (direct):
Li1 0.5000 0.5000 0.5061  6 F 2.00-2.16
Li2 0.0000 0.0000 0.0061  6 F 2.00-2.16
Mg1 0.5000 0.5000 0.1631  6 F 1.97-2.09
Mg2 0.0000 0.0000 0.6631  6 F 1.97-2.09
Pd1 0.5000 0.5000 0.8327  6 F 1.98-2.12
Pd2 0.0000 0.0000 0.3327  6 F 1.98-2.12
F1 0.1979 0.8021 0.5047  1 Li 2.00, 1 Mg 2.01, 1 Pd 2.12
F2 0.8021 0.1979 0.5047  1 Li 2.00, 1 Mg 2.01, 1 Pd 2.12
F3 0.3021 0.3021 0.0047  1 Li 2.00, 1 Mg 2.01, 1 Pd 2.12
F4 0.6979 0.6979 0.0047  1 Li 2.00, 1 Mg 2.01, 1 Pd 2.12
F5 0.2020 0.7980 0.1646  1 Mg 1.97, 1 Li 2.03, 1 Pd 2.10
F6 0.7980 0.2020 0.1646  1 Mg 1.97, 1 Li 2.03, 1 Pd 2.10
F7 0.2980 0.2980 0.6646  1 Mg 1.97, 1 Li 2.03, 1 Pd 2.10
F8 0.7020 0.7020 0.6646  1 Mg 1.97, 1 Li 2.03, 1 Pd 2.10
F9 0.7984 0.2016 0.8298  1 Pd 1.98, 1 Mg 2.09, 1 Li 2.16
F10 0.2016 0.7984 0.8298  1 Pd 1.98, 1 Mg 2.09, 1 Li 2.16
F11 0.7016 0.7016 0.3298  1 Pd 1.98, 1 Mg 2.09, 1 Li 2.16
F12 0.2984 0.2984 0.3298  1 Pd 1.98, 1 Mg 2.09, 1 Li 2.16

## Properties
Space group ... No. 102
Energy ... -82.649 eV per cell
Formation energy (no corrections) ... -2.3773 eV per atom


Density functional theory data (PBE-GGA) for a relaxed structure of ErV2Fe10.

Cell: 6.4050 6.4050 6.4050 Å, 137.17 98.13 97.20°
Last column: nearest neighbours and their distance in Å.
Positions (direct):
Er1 0.0000 0.0000 0.0000  18 Fe 3.00-3.20, 2 V 3.04
V1 0.3586 0.3586 0.0000  1 V 2.40, 8 Fe 2.57-2.61
V2 0.6414 0.6414 0.0000  1 V 2.40, 8 Fe 2.57-2.61
Fe1 0.7764 0.5000 0.2764  8 Fe 2.43-2.68, 2 V 2.61
Fe2 0.2236 0.5000 0.7236  8 Fe 2.43-2.68, 2 V 2.61
Fe3 0.7735 0.2735 0.5000  8 Fe 2.41-2.68, 2 V 2.59
Fe4 0.2265 0.7265 0.5000  8 Fe 2.41-2.68, 2 V 2.59
Fe5 0.0000 0.5000 0.0000  8 Fe 2.34-2.58, 2 V 2.57
Fe6 0.0000 0.0000 0.5000  8 Fe 2.34-2.58, 2 V 2.57
Fe7 0.5000 0.0000 0.0000  8 Fe 2.34-2.58, 2 V 2.57
Fe8 0.5000 0.5000 0.5000  8 Fe 2.34-2.58, 2 V 2.57
Fe9 0.3584 0.0000 0.3584  9 Fe 2.38-2.60
Fe10 0.6416 0.0000 0.6416  9 Fe 2.38-2.60

## Properties
Space group ... No. 71
Energy ... -108.449 eV per cell
Formation energy ... -1.02 eV/f.u.


Density functional theory data (PBE-GGA) for a relaxed structure of LiSnS.

Cell: 3.4830 4.8637 3.5922 Å, 90.00 90.00 90.00°
Last column: nearest neighbours and their distance in Å.
Positions (direct):
S1 0.5000 0.0000 0.0000  4 Li 2.50
Sn1 0.0000 0.5000 0.0000  4 S 2.99, 4 Li 3.02
Li1 0.0000 0.0000 0.5000  4 S 2.50

## Properties
Space group ... No. 47
Energy ... -11.710 eV per cell
Formation energy (no corrections) ... -0.5552 eV per atom


Density functional theory data (PBE-GGA) for a relaxed structure of Tl4Sn2HgBi2.

Cell: 7.6300 7.2989 8.9531 Å, 129.24 125.20 83.40°
Last column: nearest neighbours and their distance in Å.
Positions (direct):
Tl1 0.6054 0.7648 0.9463  1 Hg 3.27, 3 Tl 3.32-3.45, 2 Sn 3.41-3.55, 2 Bi 3.49-3.57
Tl2 0.8475 0.7739 0.4685  1 Hg 3.29, 2 Tl 3.32-3.45, 2 Bi 3.38, 2 Sn 3.44-3.47
Tl3 0.3946 0.2352 0.0537  1 Hg 3.27, 3 Tl 3.32-3.45, 2 Sn 3.41-3.55, 2 Bi 3.49-3.57
Tl4 0.1525 0.2261 0.5315  1 Hg 3.29, 2 Tl 3.32-3.45, 2 Bi 3.38, 2 Sn 3.44-3.47
Sn1 0.7148 0.2700 0.8956  1 Hg 2.91, 2 Bi 3.09-3.26
Sn2 0.2852 0.7300 0.1044  1 Hg 2.91, 2 Bi 3.09-3.26
Hg1 0.0000 0.0000 0.0000  2 Sn 2.91
Bi1 0.2754 0.7204 0.4401  3 Sn 3.09-3.43, 2 Tl 3.38
Bi2 0.7246 0.2796 0.5599  3 Sn 3.09-3.43, 2 Tl 3.38

## Properties
Space group ... No. 2
Energy ... -25.241 eV per cell
Formation energy ... 0.29 eV/f.u.


Density functional theory data (PBE-GGA) for a relaxed structure of Cd5Ga2Hg2.

Cell: 7.2746 7.3039 9.5888 Å, 112.39 112.29 90.00°
Last column: nearest neighbours and their distance in Å.
Positions (direct):
Cd1 0.1447 0.6645 0.8026  2 Ga 2.87-3.02, 2 Hg 3.00-3.07, 2 Cd 3.10-3.15
Cd2 0.8553 0.8620 0.1974  2 Ga 2.87-3.02, 2 Hg 3.00-3.07, 2 Cd 3.10-3.15
Cd3 0.1578 0.1645 0.8026  2 Ga 2.87-3.02, 2 Hg 3.00-3.07, 2 Cd 3.10-3.15
Cd4 0.8422 0.3620 0.1974  2 Ga 2.87-3.02, 2 Hg 3.00-3.07, 2 Cd 3.10-3.15
Cd5 0.3161 0.9742 0.3141  2 Ga 2.73-2.83, 1 Hg 3.00, 1 Cd 3.01
Cd6 0.6839 0.6601 0.6859  2 Ga 2.73-2.83, 1 Hg 3.00, 1 Cd 3.01
Cd7 0.4980 0.4742 0.3141  2 Ga 2.73-2.83, 1 Hg 3.00, 1 Cd 3.01
Cd8 0.5020 0.1601 0.6859  2 Ga 2.73-2.83, 1 Hg 3.00, 1 Cd 3.01
Cd9 0.1504 0.7828 0.5000  2 Hg 2.98-3.04, 2 Ga 3.09, 6 Cd 3.15-3.34
Cd10 0.8496 0.2828 0.5000  2 Hg 2.98-3.04, 2 Ga 3.09, 6 Cd 3.15-3.34
Ga1 0.1369 0.5634 0.1487  1 Ga 2.57, 3 Cd 2.73-2.87
Ga2 0.8631 0.4146 0.8513  1 Ga 2.57, 3 Cd 2.73-2.87
Ga3 0.5119 0.0634 0.1487  1 Ga 2.57, 3 Cd 2.73-2.87
Ga4 0.4881 0.9146 0.8513  1 Ga 2.57, 3 Cd 2.73-2.87
Hg1 0.0000 0.0271 0.0000  6 Cd 3.00-3.18
Hg2 0.5000 0.5271 0.0000  6 Cd 3.00-3.18
Hg3 0.2541 0.3874 0.5000  8 Cd 2.98-3.23
Hg4 0.7459 0.8874 0.5000  8 Cd 2.98-3.23

## Properties
Space group ... No. 46
Energy ... -21.387 eV per cell
Formation energy ... 0.54 eV/f.u.


Density functional theory data (PBE-GGA) for a relaxed structure of RbHF3.

Cell: 5.0976 5.0976 5.0976 Å, 90.00 90.00 90.00°
Last column: nearest neighbours and their distance in Å.
Positions (direct):
H1 0.5000 0.5000 0.5000  12 F 3.60
Rb1 0.0000 0.0000 0.0000  6 F 2.55
F1 0.0000 0.5000 0.0000  2 Rb 2.55
F2 0.0000 0.0000 0.5000  2 Rb 2.55
F3 0.5000 0.0000 0.0000  2 Rb 2.55

## Properties
Space group ... No. 221
Energy ... -11.682 eV per cell


Density functional theory data (PBE-GGA) for a relaxed structure of GdYTlHg.

Cell: 5.3394 5.3394 5.3394 Å, 60.00 60.00 60.00°
Last column: nearest neighbours and their distance in Å.
Positions (direct):
Y1 0.2500 0.2500 0.2500  4 Hg 3.27, 4 Tl 3.27
Tl1 0.0000 0.0000 0.0000  4 Gd 3.27, 4 Y 3.27
Gd1 0.7500 0.7500 0.7500  4 Hg 3.27, 4 Tl 3.27
Hg1 0.5000 0.5000 0.5000  4 Gd 3.27, 4 Y 3.27

## Properties
Space group ... No. 216
Energy ... -25.016 eV per cell
Formation energy ... -1.80 eV/f.u.


Density functional theory data (PBE-GGA) for a relaxed structure of Pm2RuI.

Cell: 3.5573 3.5573 8.4636 Å, 90.00 90.00 90.00°
Last column: nearest neighbours and their distance in Å.
Positions (direct):
I1 0.5000 0.5000 0.5000  4 I 3.56, 8 Pm 3.57
Ru1 0.5000 0.5000 0.0000  8 Pm 3.04
Pm1 0.0000 0.0000 0.7989  4 Ru 3.04
Pm2 0.0000 0.0000 0.2011  4 Ru 3.04

## Properties
Space group ... No. 123
Energy ... -22.476 eV per cell
Formation energy (no corrections) ... -0.5373 eV per atom


> Look up the energy of the seventh one.

-11.710 eV per cell


> Among the records above, which one has the lowest energy?

ErV2Fe10


> Number 4 is which compound?

TlVPd3